Entry 1:
Density functional theory data (PBE) for a relaxed structure of AcAgCl2.

Values from the calculation:
- formation energy from raw total energies (eV/f.u.) = -4.18
- ρ (g/cm3) = 5.35
- total DFT energy (no corrections) (eV/f.u.) = -14.8
- magnetic moment (μB per cell) = 0.0

```
AcAgCl2
1.0
-2.1812 -2.8979 1.2473
-1.0464 -2.7900 -2.4149
7.0548 -6.9960 1.9800
Ac Ag Cl
1 1 2
direct
0.5000 0.5000 0.5000
0.0000 0.0000 0.0000
0.9025 0.9025 0.2926
0.0975 0.0975 0.7074
```

---

Entry 2:
Density functional theory data (PBE) for a relaxed structure of Ac2AgCl.

Values from the calculation:
- formation energy from raw total energies (eV/f.u.) = -3.01
- ρ (g/cm3) = 7.24
- total DFT energy (no corrections) (eV/f.u.) = -15.9
- polymorph energy (0 for the lowest one) (meV per atom) = 85
- magnetic moment (μB per cell) = 0.0

```
Ac2AgCl
1.0
-1.6888 -3.3400 -2.5173
1.1856 -4.2717 0.8314
-6.1351 -3.2343 4.3663
Cl Ac Ag
1 2 1
direct
0.4973 0.4973 0.5080
0.2572 0.2572 0.2285
0.0778 0.0778 0.7665
0.6676 0.6676 0.9971
```

---

Entry 3:
Density functional theory data (PBE) for a relaxed structure of AcAg7Cl12.

Values from the calculation:
- formation energy from raw total energies (eV/f.u.) = -15.34
- ρ (g/cm3) = 4.78
- total DFT energy (no corrections) (eV/f.u.) = -61.6
- magnetic moment (μB per cell) = 0.0

```
AcAg7Cl12
1.0
8.1052 0.0000 -2.8656
-4.0526 7.0193 -2.8656
0.0000 0.0000 8.5968
Cl Ag Ac
12 7 1
direct
0.2885 0.8314 0.1199
0.1686 0.4571 0.2885
0.8801 0.7115 0.1686
0.1686 0.8801 0.7115
0.2885 0.1686 0.4571
0.4571 0.2885 0.1686
0.7115 0.1686 0.8801
0.5429 0.7115 0.8314
0.7115 0.8314 0.5429
0.8314 0.1199 0.2885
0.8314 0.5429 0.7115
0.1199 0.2885 0.8314
0.5000 0.0000 0.0000
0.0000 0.0000 0.5000
0.0000 0.5000 0.0000
0.0000 0.5000 0.5000
0.5000 0.0000 0.5000
0.5000 0.5000 0.0000
0.5000 0.5000 0.5000
0.0000 0.0000 0.0000
```

---

Entry 4:
Density functional theory data (PBE) for a relaxed structure of AcAg3Cl6.

Values from the calculation:
- formation energy from raw total energies (eV/f.u.) = -11.73
- ρ (g/cm3) = 3.49
- total DFT energy (no corrections) (eV/f.u.) = -35.5
- magnetic moment (μB per cell) = 0.0

```
AcAg3Cl6
1.0
-1.1755 -1.8644 7.7969
3.6312 -6.2765 3.2522
5.6946 1.3392 5.3884
Cl Ac Ag
6 1 3
direct
0.2250 0.7405 0.7395
0.7217 0.2804 0.7757
0.7750 0.2595 0.2605
0.2783 0.7196 0.2243
0.7190 0.7782 0.2776
0.2810 0.2218 0.7224
0.0000 0.0000 0.0000
0.5000 0.5000 0.5000
0.5000 0.0000 0.5000
0.5000 0.5000 0.0000
```

---

Entry 5:
Density functional theory data (PBE) for a relaxed structure of Ac2AgCl.

Values from the calculation:
- formation energy from raw total energies (eV/f.u.) = -3.35
- ρ (g/cm3) = 7.59
- total DFT energy (no corrections) (eV/f.u.) = -16.3
- polymorph energy (0 for the lowest one) (meV per atom) = 0
- magnetic moment (μB per cell) = 0.0

```
Ac2AgCl
1.0
4.6714 0.0000 0.0000
2.3357 4.0455 0.0000
2.3357 1.3485 6.9118
Ac Cl Ag
2 1 1
direct
0.2520 0.2520 0.2440
0.7480 0.7480 0.7560
0.0000 0.0000 0.0000
0.5000 0.5000 0.5000
```

---

Entry 6:
Density functional theory data (PBE) for a relaxed structure of AcAg2Cl8.

Values from the calculation:
- formation energy from raw total energies (eV/f.u.) = -11.21
- ρ (g/cm3) = 3.83
- total DFT energy (no corrections) (eV/f.u.) = -35.8
- magnetic moment (μB per cell) = 0.0

```
AcAg2Cl8
1.0
7.0894 0.0000 0.0000
0.0000 7.0894 0.0000
-3.5447 -3.5447 6.2610
Cl Ac Ag
8 1 2
direct
0.9428 0.7915 0.2337
0.2085 0.0572 0.7663
0.5578 0.7091 0.7663
0.2909 0.4422 0.2337
0.7091 0.2085 0.7663
0.7915 0.2909 0.2337
0.4422 0.9428 0.2337
0.0572 0.5578 0.7663
0.5000 0.5000 0.0000
0.2500 0.7500 0.5000
0.7500 0.2500 0.5000
```

---

Entry 7:
Density functional theory data (PBE) for a relaxed structure of AcAgCl5.

Values from the calculation:
- formation energy from raw total energies (eV/f.u.) = -10.36
- ρ (g/cm3) = 3.84
- total DFT energy (no corrections) (eV/f.u.) = -26.5
- magnetic moment (μB per cell) = 0.0

```
AcAgCl5
1.0
-0.2433 6.8344 -2.2150
-2.9413 -1.3620 -6.4163
-8.7390 2.3320 1.0626
Ag Cl Ac
2 10 2
direct
0.0000 0.0000 0.5000
0.0000 0.0000 0.0000
0.7265 0.3983 0.5253
0.1111 0.3191 0.8683
0.3983 0.7265 0.0253
0.8889 0.6809 0.1317
0.8931 0.1069 0.2500
0.6017 0.2735 0.9747
0.6809 0.8889 0.6317
0.3191 0.1111 0.3683
0.2735 0.6017 0.4747
0.1069 0.8931 0.7500
0.4391 0.5609 0.7500
0.5609 0.4391 0.2500
```

---

Entry 8:
Density functional theory data (PBE) for a relaxed structure of Ac3CoAgCl.

Values from the calculation:
- formation energy from raw total energies (eV/f.u.) = -3.07
- ρ (g/cm3) = 7.72
- total DFT energy (no corrections) (eV/f.u.) = -27.2
- magnetic moment (μB per cell) = 0.0

```
Ac3CoAgCl
1.0
4.3622 0.0000 0.0000
0.0000 8.8382 0.8890
0.0000 -2.5470 9.5985
Ac Co Ag Cl
6 2 2 2
direct
0.7500 0.4391 0.1547
0.7500 0.2893 0.5527
0.7500 0.8645 0.1088
0.2500 0.7107 0.4473
0.2500 0.5609 0.8453
0.2500 0.1355 0.8912
0.2500 0.6579 0.1403
0.7500 0.3421 0.8598
0.7500 0.8005 0.7441
0.2500 0.1995 0.2559
0.2500 0.0649 0.5997
0.7500 0.9351 0.4003
```

---

Entry 9:
Density functional theory data (PBE) for a relaxed structure of Ac6Co2AgCl3.

Values from the calculation:
- formation energy from raw total energies (eV/f.u.) = -10.01
- ρ (g/cm3) = 7.21
- total DFT energy (no corrections) (eV/f.u.) = -57.3
- magnetic moment (μB per cell) = 0.0

```
Ac6Co2AgCl3
1.0
-1.3230 -2.2042 3.4520
6.3013 -6.7277 -1.8808
4.9587 8.0529 4.3593
Cl Ac Co Ag
3 6 2 1
direct
0.5000 0.5000 0.0000
0.1711 0.8438 0.3421
0.8289 0.1562 0.6579
0.3180 0.4434 0.6360
0.6653 0.1246 0.3306
0.6820 0.5566 0.3640
0.9782 0.7455 0.9564
0.0218 0.2545 0.0436
0.3347 0.8754 0.6694
0.1675 0.3366 0.3350
0.8325 0.6634 0.6650
0.5000 0.0000 0.0000
```

---

Entry 10:
Density functional theory data (PBE) for a relaxed structure of Cs2AcAgCl6.

Values from the calculation:
- formation energy from raw total energies (eV/f.u.) = -18.72
- ρ (g/cm3) = 3.83
- total DFT energy (no corrections) (eV/f.u.) = -38.5
- magnetic moment (μB per cell) = 0.0

```
Cs2AcAgCl6
1.0
7.9359 0.0000 -0.0095
0.0000 8.0207 0.0000
0.0625 0.0000 11.0803
Cl Ag Cs Ac
12 2 4 2
direct
0.0588 0.4894 0.7437
0.7836 0.7843 0.9704
0.7151 0.2834 0.9687
0.2164 0.2157 0.0296
0.2849 0.7166 0.0313
0.5588 0.0106 0.2437
0.9412 0.5106 0.2563
0.2151 0.2166 0.4687
0.7164 0.2843 0.5296
0.2836 0.7157 0.4704
0.4412 0.9894 0.7563
0.7849 0.7834 0.5313
0.5000 0.0000 0.0000
0.0000 0.5000 0.5000
0.4916 0.4625 0.2492
0.9916 0.0375 0.7492
0.0084 0.9625 0.2508
0.5084 0.5375 0.7508
0.5000 0.0000 0.5000
0.0000 0.5000 0.0000
```

---

Entry 11:
Density functional theory data (PBE) for a relaxed structure of CsAcAgCl5.

Values from the calculation:
- formation energy from raw total energies (eV/f.u.) = -14.64
- ρ (g/cm3) = 3.43
- total DFT energy (no corrections) (eV/f.u.) = -31.7
- magnetic moment (μB per cell) = 0.0

```
CsAcAgCl5
1.0
8.0846 -0.1191 -0.0126
-2.4739 7.6978 -0.0126
-2.3364 -3.1559 10.0919
Ag Ac Cl Cs
2 2 10 2
direct
0.3142 0.6858 0.7500
0.6858 0.3142 0.2500
0.0000 0.0000 0.0000
0.0000 0.0000 0.5000
0.6962 0.0960 0.3966
0.6257 0.7487 0.9272
0.9204 0.0796 0.7500
0.3743 0.2513 0.0728
0.0960 0.6962 0.8966
0.0796 0.9204 0.2500
0.3038 0.9040 0.6034
0.7487 0.6257 0.4272
0.9040 0.3038 0.1034
0.2513 0.3743 0.5728
0.6540 0.3460 0.7500
0.3460 0.6540 0.2500
```

---

Entry 12:
Density functional theory data (PBE) for a relaxed structure of Cs3AcAg2Cl9.

Values from the calculation:
- formation energy from raw total energies (eV/f.u.) = -23.89
- ρ (g/cm3) = 3.88
- total DFT energy (no corrections) (eV/f.u.) = -52.9
- magnetic moment (μB per cell) = 0.0

```
Cs3AcAg2Cl9
1.0
7.6966 0.0000 0.0000
-3.8483 6.6654 0.0000
0.0000 0.0000 9.6700
Cl Cs Ag Ac
9 3 2 1
direct
0.1718 0.3437 0.3243
0.5000 0.5000 0.0000
0.6563 0.8282 0.3243
0.3437 0.1718 0.6757
0.0000 0.5000 0.0000
0.5000 0.0000 0.0000
0.8282 0.6563 0.6757
0.1718 0.8282 0.3243
0.8282 0.1718 0.6757
0.6667 0.3333 0.2982
0.0000 0.0000 0.0000
0.3333 0.6667 0.7018
0.6667 0.3333 0.8541
0.3333 0.6667 0.1459
0.0000 0.0000 0.5000
```